No. 1
{"formula": "Pm3Pr4Dy2", "functional": "PBE-GGA", "state": "relaxed", "lattice_angstrom": [[-0.272, -6.135, 1.528], [5.380, 2.474, -2.239], [-6.006, 6.017, 10.047]], "species": ["Pm", "Pm", "Pm", "Dy", "Dy", "Pr", "Pr", "Pr", "Pr"], "frac_coords": [[0.000, 0.000, 0.000], [0.446, 0.890, 0.335], [0.554, 0.110, 0.665], [0.220, 0.441, 0.665], [0.780, 0.559, 0.335], [0.666, 0.331, 0.000], [0.888, 0.776, 0.665], [0.112, 0.224, 0.335], [0.334, 0.669, 0.000]], "space_group": "P-1, No. 2", "formation_enthalpy_0k_mev_per_atom": 15, "de_polymorph_mev_per_atom": 0}

***

No. 2
{"formula": "Nd2Sm2Y2Ho", "functional": "PBE-GGA", "state": "relaxed", "lattice_angstrom": [[5.745, 0.000, 0.000], [2.873, 4.976, 0.000], [2.873, 1.659, 8.241]], "species": ["Nd", "Nd", "Y", "Y", "Ho", "Sm", "Sm"], "frac_coords": [[0.861, 0.861, 0.417], [0.139, 0.139, 0.583], [0.572, 0.572, 0.284], [0.428, 0.428, 0.716], [0.000, 0.000, 0.000], [0.715, 0.715, 0.855], [0.285, 0.285, 0.145]], "space_group": "R-3m, No. 166", "formation_enthalpy_0k_mev_per_atom": 127}